[1]
VASP calculation (PBE) on a relaxed PmCdGa crystal.

extended XYZ file:
```
3
Lattice="0.0000 3.5097 3.5097 3.5097 0.0000 3.5097 3.5097 3.5097 0.0000" Properties=species:S:1:pos:R:3 pbc="T T T"
Pm 0.0000 0.0000 0.0000
Cd 5.2645 5.2645 5.2645
Ga 1.7548 1.7548 1.7548
```

Computed properties:
- Distance to the lowest polymorph of the same formula: 452 meV per atom
- ρ: 6.3 Mg/m³



[2]
VASP calculation (PBE) on a relaxed RbSmLuTe3 crystal.

extended XYZ file:
```
12
Lattice="2.3397 -8.4032 0.0000 2.3397 8.4032 0.0000 0.0000 0.0000 12.0235" Properties=species:S:1:pos:R:3 pbc="T T T"
Rb 2.3397 4.3133 9.0176
Rb 2.3397 -4.3133 3.0059
Sm 2.3397 0.0000 0.0000
Sm 2.3397 0.0000 6.0118
Lu 2.3397 7.7992 3.0059
Lu 2.3397 -7.7992 9.0176
Te 2.3397 6.2537 0.6053
Te 2.3397 6.2537 5.4065
Te 2.3397 1.1328 3.0059
Te 2.3397 -1.1328 9.0176
Te 2.3397 -6.2537 6.6171
Te 2.3397 -6.2537 11.4182
```

Computed properties:
- Raw total energy: -4.491 eV/atom
- ρ: 5.6 Mg/m³



[3]
VASP calculation (PBE) on a relaxed Al7Co6 crystal.

extended XYZ file:
```
13
Lattice="2.4214 1.3980 8.1147 -2.4214 1.3980 8.1147 0.0000 -2.7960 8.1147" Properties=species:S:1:pos:R:3 pbc="T T T"
Al 0.0000 0.0000 0.0000
Al 0.0000 0.0000 4.0240
Al 0.0000 0.0000 8.3749
Al 0.0000 0.0000 10.9065
Al 0.0000 0.0000 13.4376
Al 0.0000 0.0000 15.9692
Al 0.0000 0.0000 20.3201
Co 0.0000 -1.3679 6.1945
Co -1.1847 0.6840 6.1945
Co -1.1847 -0.6840 18.1496
Co 1.1847 0.6840 6.1944
Co 1.1847 -0.6840 18.1496
Co 0.0000 1.3679 18.1496
```

Computed properties:
- Distance to the lowest polymorph of the same formula: 0 meV per atom
- ρ: 5.5 Mg/m³



[4]
VASP calculation (PBE) on a relaxed YThOs crystal.

extended XYZ file:
```
3
Lattice="0.0000 3.3986 3.3986 3.3986 0.0000 3.3986 3.3986 3.3986 0.0000" Properties=species:S:1:pos:R:3 pbc="T T T"
Y 0.0000 0.0000 0.0000
Th 5.0980 5.0980 5.0980
Os 3.3986 3.3986 3.3986
```

Computed properties:
- Distance to the lowest polymorph of the same formula: 0 meV per atom
- ρ: 10.8 Mg/m³
- Formation energy: 706 meV/atom



[5]
VASP calculation (PBE) on a relaxed Sm3Ni crystal.

extended XYZ file:
```
4
Lattice="0.0000 3.7194 3.7194 3.7194 0.0000 3.7194 3.7194 3.7194 0.0000" Properties=species:S:1:pos:R:3 pbc="T T T"
Sm 0.0000 0.0000 0.0000
Sm 1.8597 1.8597 1.8597
Sm 5.5791 5.5791 5.5791
Ni 3.7194 3.7194 3.7194
```

Computed properties:
- ρ: 8.2 Mg/m³
- Formation energy: 237 meV/atom



[6]
VASP calculation (PBE) on a relaxed ErPuTh crystal.

extended XYZ file:
```
3
Lattice="0.0000 3.5596 3.5596 3.5596 0.0000 3.5596 3.5596 3.5596 0.0000" Properties=species:S:1:pos:R:3 pbc="T T T"
Er 0.0000 0.0000 0.0000
Pu 5.3394 5.3394 5.3394
Th 3.5596 3.5596 3.5596
```

Computed properties:
- Distance to the lowest polymorph of the same formula: 0 meV per atom
- ρ: 11.8 Mg/m³
- Formation energy: 749 meV/atom



[7]
VASP calculation (PBE) on a relaxed Y3HgN crystal.

extended XYZ file:
```
5
Lattice="4.8033 0.0000 0.0000 0.0000 4.8033 0.0000 0.0000 0.0000 4.8033" Properties=species:S:1:pos:R:3 pbc="T T T"
Y 0.0000 0.0000 2.4016
Y 0.0000 2.4016 0.0000
Y 2.4016 0.0000 0.0000
Hg 2.4016 2.4016 2.4016
N 0.0000 0.0000 0.0000
```

Computed properties:
- Raw total energy: -6.543 eV/atom
- ρ: 7.2 Mg/m³



[8]
VASP calculation (PBE) on a relaxed YNbPb crystal.

extended XYZ file:
```
3
Lattice="0.0000 3.5722 3.5722 3.5722 0.0000 3.5722 3.5722 3.5722 0.0000" Properties=species:S:1:pos:R:3 pbc="T T T"
Y 0.0000 0.0000 0.0000
Nb 5.3583 5.3583 5.3583
Pb 1.7861 1.7861 1.7861
```

Computed properties:
- Distance to the lowest polymorph of the same formula: 259 meV per atom
- ρ: 7.1 Mg/m³



| no. | magnetic moment (μB per formula unit) |
| --- | --- |
| 1 | 0.0 |
| 2 | 0.1 |
| 3 | 3.6 |
| 4 | 0.0 |
| 5 | 1.6 |
| 6 | 7.1 |
| 7 | 0.0 |
| 8 | 3.8 |